1.
The following is a DFT calculation (GGA-PBE) of an optimized crystal structure of Ac12Ir5Pd3.

Lattice parameters (Å, degrees): 18.006 18.006 18.006 90.00 90.00 90.00
Space group Ia-3d (No. 230)
Symmetry-distinct sites (fractional):
Ac (0.025, 0.063, 0.651) (multiplicity 96)
Ir (0.000, 0.000, 0.000) (multiplicity 16)
Ir (0.000, 0.250, 0.375) (multiplicity 24)
Pd (0.000, 0.250, 0.125) (multiplicity 24)

Calculated values
The formation enthalpy at 0 K is -7.77 eV per formula unit. The density of states at the Fermi level comes out at 132.6 states/eV/cell. The total energy comes out at -935.66 eV for the cell shown.

---

2.
The following is a DFT calculation (GGA-PBE) of an optimized crystal structure of Ac3DyHo.

Lattice parameters (Å, degrees): 6.500 9.352 13.276 90.00 90.00 90.00
Space group Pnna (No. 52)
Symmetry-distinct sites (fractional):
Ac (0.088, 0.173, 0.073) (multiplicity 8)
Ac (0.143, 0.250, 0.750) (multiplicity 4)
Dy (0.250, 0.000, 0.306) (multiplicity 4)
Ho (0.250, 0.000, 0.556) (multiplicity 4)

Calculated values
The formation enthalpy at 0 K is 0.93 eV per formula unit. The density of states at the Fermi level comes out at 29.6 states/eV/cell. The total energy comes out at -82.30 eV for the cell shown.

---

Please write out number 2 again, unchanged.
The following is a DFT calculation (GGA-PBE) of an optimized crystal structure of Ac3DyHo.

Lattice parameters (Å, degrees): 6.500 9.352 13.276 90.00 90.00 90.00
Space group Pnna (No. 52)
Symmetry-distinct sites (fractional):
Ac (0.088, 0.173, 0.073) (multiplicity 8)
Ac (0.143, 0.250, 0.750) (multiplicity 4)
Dy (0.250, 0.000, 0.306) (multiplicity 4)
Ho (0.250, 0.000, 0.556) (multiplicity 4)

Calculated values
The formation enthalpy at 0 K is 0.93 eV per formula unit. The density of states at the Fermi level comes out at 29.6 states/eV/cell. The total energy comes out at -82.30 eV for the cell shown.

---

Which value of formation enthalpy at 0 K does entry 1 give?
-7.77 eV per formula unit

---

What is the formation enthalpy at 0 K in the second record?
0.93 eV per formula unit

---

Look up the formation enthalpy at 0 K of the first one.
-7.77 eV per formula unit